{
  "formula": "DyTm2PaBi4",
  "functional": "GGA-PBE",
  "state": "optimized geometry",
  "e_form_ev_per_atom": -0.610,
  "spacegroup": "P2/m, No. 10",
  "cell": [[4.445, 0.000, 0.000], [0.000, 7.723, 0.149], [0.000, -2.682, 7.236]],
  "species": ["Dy", "Tm", "Tm", "Pa", "Bi", "Bi", "Bi", "Bi"],
  "frac_coords": [[0.500, 0.500, 0.000], [0.500, 0.000, 0.500], [0.000, 0.500, 0.500], [0.000, 0.000, 0.000], [0.500, 0.253, 0.255], [0.500, 0.747, 0.745], [0.000, 0.249, 0.747], [0.000, 0.751, 0.253]]
}